1.
## Pr3BiPbBr (PBE-GGA)

Data for an optimized crystal structure of Pr3BiPbBr.

Cell: 7.938 4.483 11.815 Å, 90.00 102.30 90.00°
Fractional coordinates of all 12 atoms:
Pr  0.044  0.250  0.175
Pr  0.212  0.750  0.501
Pr  0.444  0.750  0.839
Pr  0.556  0.250  0.161
Pr  0.788  0.250  0.499
Pr  0.956  0.750  0.825
Bi  0.262  0.750  0.060
Bi  0.738  0.250  0.940
Pb  0.154  0.250  0.691
Pb  0.846  0.750  0.309
Br  0.379  0.250  0.376
Br  0.621  0.750  0.624

Summary:
density of states at the Fermi level = 7.315 states/eV per cell
calculated density = 7.4 g/cm³
raw formation energy = -0.931 eV per atom
electronic total energy = -58.37 eV/cell

2.
## RbYTi (PBE-GGA)

Data for an optimized crystal structure of RbYTi.

Cell: 3.517 4.663 14.670 Å, 90.00 96.70 90.00°
Fractional coordinates of all 6 atoms:
Rb  0.173  0.250  0.356
Rb  0.827  0.750  0.644
Y  0.434  0.250  0.864
Y  0.566  0.750  0.136
Ti  0.019  0.250  0.039
Ti  0.981  0.750  0.961

Summary:
formation energy from the elements = 0.381 eV per atom
density of states at the Fermi level = 8.767 states/eV per cell
calculated density = 3.1 g/cm³
energy relative to the lowest polymorph listed for this composition = 107 meV per atom
electronic total energy = -28.37 eV/cell

3.
## La3GaNi (PBE-GGA)

Data for an optimized crystal structure of La3GaNi.

Cell: 5.689 5.689 9.437 Å, 110.62 110.62 74.53°
Fractional coordinates of all 10 atoms:
La  0.110  0.110  0.303
La  0.283  0.283  0.675
La  0.320  0.320  0.086
La  0.680  0.680  0.914
La  0.717  0.717  0.325
La  0.890  0.890  0.697
Ga  0.315  0.685  0.500
Ga  0.685  0.315  0.500
Ni  0.197  0.803  0.000
Ni  0.803  0.197  0.000

Summary:
formation energy from the elements = -0.363 eV per atom
density of states at the Fermi level = 7.456 states/eV per cell
calculated density = 6.9 g/cm³
energy relative to the lowest polymorph listed for this composition = 0 meV per atom
electronic total energy = -50.81 eV/cell

4.
## KTcB2 (PBE-GGA)

Data for an optimized crystal structure of KTcB2.

Cell: 6.445 6.445 6.445 Å, 119.97 119.97 90.05°
Fractional coordinates of all 8 atoms:
K  0.000  0.000  0.000
K  0.750  0.250  0.500
Tc  0.250  0.750  0.500
Tc  0.500  0.500  0.000
B  0.364  0.625  0.239
B  0.375  0.614  0.739
B  0.386  0.125  0.761
B  0.875  0.636  0.261

Summary:
formation energy from the elements = 0.604 eV per atom
density of states at the Fermi level = 1.463 states/eV per cell
calculated density = 2.8 g/cm³
energy relative to the lowest polymorph listed for this composition = 0 meV per atom
electronic total energy = -44.80 eV/cell